Record 1
K2La2Ag: optimized geometry, PBE.

energy relative to the elements: 0.30 eV/atom
uncorrected energy: -2.677 eV per atom
space group: No. 127
density of states at the Fermi level: 8.14 states/eV/f.u.

a = 7.830 Å, b = 7.830 Å, c = 7.094 Å
α = 90.00°, β = 90.00°, γ = 90.00°
Sites, in units of the cell vectors:
1 La 0.357 0.857 0.000
2 La 0.643 0.143 0.000
3 La 0.857 0.643 0.000
4 La 0.143 0.357 0.000
5 Ag 0.500 0.500 0.000
6 Ag 0.000 0.000 0.000
7 K 0.192 0.692 0.500
8 K 0.692 0.808 0.500
9 K 0.808 0.308 0.500
10 K 0.308 0.192 0.500


Record 2
KLaAg2: optimized geometry, PBE.

energy relative to the elements: 0.04 eV/atom
uncorrected energy: -2.896 eV per atom
space group: No. 160
density of states at the Fermi level: 2.27 states/eV/f.u.

a = 8.205 Å, b = 8.205 Å, c = 8.205 Å
α = 34.07°, β = 34.07°, γ = 34.07°
Sites, in units of the cell vectors:
1 Ag 0.968 0.968 0.968
2 Ag 0.302 0.302 0.302
3 K 0.529 0.529 0.529
4 La 0.702 0.702 0.702


Record 3
KLaAg: optimized geometry, PBE.

energy relative to the elements: 0.17 eV/atom
uncorrected energy: -2.786 eV per atom
space group: No. 156
density of states at the Fermi level: 3.12 states/eV/f.u.

a = 3.955 Å, b = 3.955 Å, c = 8.624 Å
α = 90.00°, β = 90.00°, γ = 120.00°
Sites, in units of the cell vectors:
1 K 0.667 0.333 0.287
2 Ag 0.000 0.000 0.978
3 La 0.333 0.667 0.735


Record 4
K2LaAg: optimized geometry, PBE.

energy relative to the elements: 0.32 eV/atom
uncorrected energy: -2.172 eV per atom
space group: No. 47
density of states at the Fermi level: 4.55 states/eV/f.u.

a = 4.798 Å, b = 4.738 Å, c = 8.185 Å
α = 54.58°, β = 90.00°, γ = 90.00°
Sites, in units of the cell vectors:
1 La 0.500 0.500 0.500
2 K 0.000 0.000 0.000
3 K 0.500 0.500 0.000
4 Ag 0.000 0.000 0.500


Record 5
K2LaAg: optimized geometry, PBE.

energy relative to the elements: 0.33 eV/atom
uncorrected energy: -2.165 eV per atom
space group: No. 139
density of states at the Fermi level: 3.39 states/eV/f.u.

a = 7.525 Å, b = 7.525 Å, c = 7.525 Å
α = 143.19°, β = 143.19°, γ = 53.04°
Each line ends with the local moment (μB).
Sites, in units of the cell vectors:
1 Ag 0.750 0.250 0.500  0.00
2 K 0.500 0.500 0.000  0.02
3 K 0.000 0.000 0.000  0.02
4 La 0.250 0.750 0.500  0.22


Record 6
KLaAg2: optimized geometry, PBE.

energy relative to the elements: -0.01 eV/atom
uncorrected energy: -2.942 eV per atom
space group: No. 123
density of states at the Fermi level: 4.35 states/eV/f.u.

a = 5.697 Å, b = 5.696 Å, c = 3.590 Å
α = 90.00°, β = 90.00°, γ = 90.00°
Sites, in units of the cell vectors:
1 La 0.000 0.500 0.500
2 Ag 0.000 0.000 0.000
3 Ag 0.500 0.500 0.000
4 K 0.500 0.000 0.500


Record 7
KLa2Ag2: optimized geometry, PBE.

energy relative to the elements: 0.07 eV/atom
uncorrected energy: -3.258 eV per atom
space group: No. 139
density of states at the Fermi level: 7.58 states/eV/f.u.

a = 5.126 Å, b = 5.126 Å, c = 7.564 Å
α = 70.19°, β = 70.19°, γ = 90.00°
Sites, in units of the cell vectors:
1 Ag 0.605 0.605 0.790
2 Ag 0.395 0.395 0.210
3 La 0.250 0.750 0.500
4 La 0.750 0.250 0.500
5 K 0.000 0.000 0.000


Record 8
KLaAg2: optimized geometry, PBE.

energy relative to the elements: 0.18 eV/atom
uncorrected energy: -2.748 eV per atom
space group: No. 216
density of states at the Fermi level: 4.35 states/eV/f.u.

a = 5.265 Å, b = 5.265 Å, c = 5.265 Å
α = 60.00°, β = 60.00°, γ = 60.00°
Sites, in units of the cell vectors:
1 Ag 0.250 0.250 0.250
2 Ag 0.000 0.000 0.000
3 La 0.750 0.750 0.750
4 K 0.500 0.500 0.500